# 1
# K2InCl

A relaxed K2InCl crystal (GGA-PBE, Alexandria via LeMat-Bulk).

Calculated values
Formation energy without anion corrections (meV/atom): -653
Polymorph energy (0 for the lowest one) (meV per atom): 229.7

abc: 3.8361 6.1075 6.1075
angles: 90.00 90.00 90.00
Fractional positions:
Cl 0.5000 0.5000 0.0000
K 0.0000 0.0000 0.0000
K 0.0000 0.5000 0.5000
In 0.5000 0.0000 0.5000

# 2
# Cs3Tl2Pt2

A relaxed Cs3Tl2Pt2 crystal (GGA-PBE, Alexandria via LeMat-Bulk).

abc: 7.3462 9.8318 14.6754
angles: 90.00 90.00 90.00
Fractional positions:
Cs 0.1362 0.6064 0.0978
Pt 0.5939 0.0186 0.9175
Tl 0.5852 0.7500 0.5000
Cs 0.8638 0.1064 0.0978
Tl 0.7512 0.4271 0.2500
Tl 0.7512 0.0729 0.7500
Cs 0.1362 0.8936 0.9022
Pt 0.5939 0.4814 0.4175
Cs 0.8638 0.1064 0.4022
Tl 0.2488 0.5729 0.7500
Pt 0.4061 0.5186 0.9175
Pt 0.4061 0.9814 0.4175
Tl 0.4148 0.2500 0.0000
Cs 0.6914 0.7124 0.7500
Tl 0.2488 0.9271 0.2500
Cs 0.1362 0.8936 0.5978
Cs 0.3086 0.2124 0.7500
Pt 0.4061 0.9814 0.0825
Pt 0.5939 0.0186 0.5825
Cs 0.1362 0.6064 0.4022
Cs 0.6914 0.7876 0.2500
Cs 0.8638 0.3936 0.9022
Cs 0.8638 0.3936 0.5978
Pt 0.5939 0.4814 0.0825
Tl 0.4148 0.2500 0.5000
Pt 0.4061 0.5186 0.5825
Cs 0.3086 0.2876 0.2500
Tl 0.5852 0.7500 0.0000

Results for total DFT energy (no corrections): -9.4 -20.2 (in eV per formula unit, following the order of the records).
Results for D(E_F): 3.38 4.05 (in states/eV/f.u., following the order of the records).
Results for total magnetization: 0.00 0.00 (in μB/f.u., following the order of the records).